(1)
DFT (GGA-PBE) results for crystalline Ce4Nb6O19 at its relaxed geometry.

**Energy relative to the elements, uncorrected**: -2.81 eV per atom

Cell lengths 8.0098, 8.0098, 8.0098 Å; angles 109.47, 109.47, 109.47 degrees
With the nearest neighbours (Å) after each atom.
Fractional positions:
Ce 0.0000 0.0000 0.7040  7 O 2.31-2.54
Ce 0.0000 0.7040 0.0000  7 O 2.31-2.54
Ce 0.2960 0.2960 0.2960  7 O 2.31-2.54
Ce 0.7040 0.0000 0.0000  7 O 2.31-2.54
Nb 0.1468 0.6468 0.5000  6 O 1.98-2.17
Nb 0.3532 0.5000 0.8532  6 O 1.98-2.17
Nb 0.5000 0.1468 0.6468  6 O 1.98-2.17
Nb 0.5000 0.8532 0.3532  6 O 1.98-2.17
Nb 0.6468 0.5000 0.1468  6 O 1.98-2.17
Nb 0.8532 0.3532 0.5000  6 O 1.98-2.17
O 0.0000 0.0000 0.0000  4 Ce 2.37
O 0.0000 0.3252 0.3252  2 Nb 2.11
O 0.0000 0.6748 0.6748  2 Nb 2.11
O 0.0275 0.2842 0.6747  2 Nb 1.98-2.17
O 0.2567 0.9725 0.6472  2 Nb 1.98-2.17
O 0.2842 0.6747 0.0275  2 Nb 1.98-2.17
O 0.3252 0.0000 0.3252  2 Nb 2.11
O 0.3252 0.3252 0.0000  2 Nb 2.11
O 0.3253 0.6095 0.3528  2 Nb 1.98-2.17
O 0.3528 0.3253 0.6095  2 Nb 1.98-2.17
O 0.3905 0.7158 0.7433  2 Nb 1.98-2.17
O 0.6095 0.3528 0.3253  2 Nb 1.98-2.17
O 0.6472 0.2567 0.9725  2 Nb 1.98-2.17
O 0.6748 0.0000 0.6748  2 Nb 2.11
O 0.6747 0.0275 0.2842  2 Nb 1.98-2.17
O 0.6748 0.6748 0.0000  2 Nb 2.11
O 0.7158 0.7433 0.3905  2 Nb 1.98-2.17
O 0.7433 0.3905 0.7158  2 Nb 1.98-2.17
O 0.9725 0.6472 0.2567  2 Nb 1.98-2.17

(2)
DFT (GGA-PBE) results for crystalline Ce6NbO12 at its relaxed geometry.

**Energy relative to the elements, uncorrected**: -3.31 eV per atom

Cell lengths 6.6910, 6.6910, 6.6910 Å; angles 98.77, 98.77, 98.77 degrees
With the nearest neighbours (Å) after each atom.
Fractional positions:
Ce 0.1037 0.7963 0.6380  6 O 2.27-2.46
Ce 0.2037 0.3620 0.8963  6 O 2.27-2.46
Ce 0.3620 0.8963 0.2037  6 O 2.27-2.46
Ce 0.6380 0.1037 0.7963  6 O 2.27-2.46
Ce 0.7963 0.6380 0.1037  6 O 2.27-2.46
Ce 0.8963 0.2037 0.3620  6 O 2.27-2.46
Nb 0.5000 0.5000 0.5000  6 O 2.08
O 0.0631 0.9100 0.3232  4 Ce 2.27-2.46
O 0.0900 0.6768 0.9369  4 Ce 2.27-2.46
O 0.1982 0.4319 0.5474  1 Nb 2.08
O 0.3232 0.0631 0.9100  4 Ce 2.27-2.46
O 0.4319 0.5474 0.1982  1 Nb 2.08
O 0.4526 0.8018 0.5681  1 Nb 2.08
O 0.5474 0.1982 0.4319  1 Nb 2.08
O 0.5681 0.4526 0.8018  1 Nb 2.08
O 0.6768 0.9369 0.0900  4 Ce 2.27-2.46
O 0.8018 0.5681 0.4526  1 Nb 2.08
O 0.9100 0.3232 0.0631  4 Ce 2.27-2.46
O 0.9369 0.0900 0.6768  4 Ce 2.27-2.46

(3)
DFT (GGA-PBE) results for crystalline CeNb2O6 at its relaxed geometry.

**Energy relative to the elements, uncorrected**: -2.76 eV per atom

Cell lengths 5.3166, 5.3166, 5.1547 Å; angles 90.00, 90.00, 120.00 degrees
With the nearest neighbours (Å) after each atom.
Fractional positions:
Ce 0.0000 0.0000 0.0000  6 O 2.37
Nb 0.3333 0.6667 0.5000  6 O 2.06
Nb 0.6667 0.3333 0.5000  6 O 2.06
O 0.0000 0.3536 0.7195  2 Nb 2.06
O 0.0000 0.6464 0.2805  2 Nb 2.06
O 0.3536 0.0000 0.7195  2 Nb 2.06
O 0.3536 0.3536 0.2805  2 Nb 2.06
O 0.6464 0.0000 0.2805  2 Nb 2.06
O 0.6464 0.6464 0.7195  2 Nb 2.06

(4)
DFT (GGA-PBE) results for crystalline Ce3NbO7 at its relaxed geometry.

**Energy relative to the elements, uncorrected**: -3.19 eV per atom

Cell lengths 6.6310, 6.6310, 7.7547 Å; angles 90.00, 90.00, 109.65 degrees
With the nearest neighbours (Å) after each atom.
Fractional positions:
Ce 0.0000 0.0000 0.0000  8 O 2.39-2.65
Ce 0.0000 0.0000 0.5000  8 O 2.39-2.65
Ce 0.0310 0.5002 0.7500  7 O 2.28-2.55
Ce 0.5002 0.0310 0.2500  7 O 2.28-2.55
Ce 0.4998 0.9690 0.7500  7 O 2.28-2.55
Ce 0.9690 0.4998 0.2500  7 O 2.28-2.55
Nb 0.5000 0.5000 0.0000  6 O 2.07
Nb 0.5000 0.5000 0.5000  6 O 2.07
O 0.1287 0.8713 0.2500  4 Ce 2.33-2.39
O 0.1354 0.8646 0.7500  4 Ce 2.28-2.43
O 0.1726 0.4213 0.0284  1 Nb 2.07
O 0.1726 0.4213 0.4716  1 Nb 2.07
O 0.4213 0.1726 0.5284  1 Nb 2.07
O 0.4213 0.1726 0.9716  1 Nb 2.07
O 0.4330 0.5670 0.7500  2 Nb 2.07
O 0.5670 0.4330 0.2500  2 Nb 2.07
O 0.5787 0.8274 0.0284  1 Nb 2.07
O 0.5787 0.8274 0.4716  1 Nb 2.07
O 0.8274 0.5787 0.5284  1 Nb 2.07
O 0.8274 0.5787 0.9716  1 Nb 2.07
O 0.8646 0.1354 0.2500  4 Ce 2.28-2.43
O 0.8713 0.1287 0.7500  4 Ce 2.33-2.39

(5)
DFT (GGA-PBE) results for crystalline Ce5Nb2O12 at its relaxed geometry.

**Energy relative to the elements, uncorrected**: -3.16 eV per atom

Cell lengths 7.0214, 7.0214, 7.7565 Å; angles 105.94, 105.94, 50.63 degrees
With the nearest neighbours (Å) after each atom.
Fractional positions:
Ce 0.0000 0.0000 0.0000  6 O 2.28-2.42
Ce 0.3107 0.3107 0.1444  7 O 2.38-2.46
Ce 0.3110 0.3110 0.6666  7 O 2.34-2.50
Ce 0.6890 0.6890 0.3334  7 O 2.34-2.50
Ce 0.6893 0.6893 0.8556  7 O 2.38-2.46
Nb 0.2215 0.7785 0.5000  6 O 2.03-2.21
Nb 0.7785 0.2215 0.5000  6 O 2.03-2.21
O 0.0021 0.0021 0.2956  2 Nb 2.08, 1 Ce 2.28
O 0.0945 0.5920 0.9246  4 Ce 2.39-2.43
O 0.0985 0.5687 0.4137  1 Nb 2.03
O 0.4080 0.9055 0.0754  4 Ce 2.39-2.43
O 0.4313 0.9015 0.5863  1 Nb 2.03
O 0.4987 0.4987 0.6856  2 Nb 2.21, 2 Ce 2.34-2.38
O 0.5013 0.5013 0.3144  2 Nb 2.21, 2 Ce 2.34-2.38
O 0.5687 0.0985 0.4137  1 Nb 2.03
O 0.5920 0.0945 0.9246  4 Ce 2.39-2.43
O 0.9015 0.4313 0.5863  1 Nb 2.03
O 0.9055 0.4080 0.0754  4 Ce 2.39-2.43
O 0.9979 0.9979 0.7044  2 Nb 2.08, 1 Ce 2.28

(6)
DFT (GGA-PBE) results for crystalline CeNb2O5 at its relaxed geometry.

**Energy relative to the elements, uncorrected**: -2.64 eV per atom

Cell lengths 5.3371, 5.3371, 9.9443 Å; angles 90.00, 90.00, 133.98 degrees
With the nearest neighbours (Å) after each atom.
Fractional positions:
Ce 0.0338 0.9662 0.7500  7 O 2.45-2.57
Ce 0.9662 0.0338 0.2500  7 O 2.45-2.57
Nb 0.3362 0.6638 0.5490  6 O 2.06-2.18
Nb 0.3362 0.6638 0.9510  6 O 2.06-2.18
Nb 0.6638 0.3362 0.0490  6 O 2.06-2.18
Nb 0.6638 0.3362 0.4510  6 O 2.06-2.18
O 0.1434 0.8566 0.0598  3 Nb 2.10-2.18
O 0.1434 0.8566 0.4402  3 Nb 2.10-2.18
O 0.2835 0.7165 0.7500  2 Nb 2.07
O 0.4561 0.5439 0.1209  2 Nb 2.06-2.16
O 0.4561 0.5439 0.3791  2 Nb 2.06-2.16
O 0.5439 0.4561 0.6209  2 Nb 2.06-2.16
O 0.5439 0.4561 0.8791  2 Nb 2.06-2.16
O 0.7165 0.2835 0.2500  2 Nb 2.07
O 0.8566 0.1434 0.5598  3 Nb 2.10-2.18
O 0.8566 0.1434 0.9402  3 Nb 2.10-2.18

(7)
DFT (GGA-PBE) results for crystalline CeNbO2 at its relaxed geometry.

**Energy relative to the elements, uncorrected**: -1.87 eV per atom

Cell lengths 6.3419, 6.3419, 6.3419 Å; angles 32.38, 32.38, 32.38 degrees
With the nearest neighbours (Å) after each atom.
Fractional positions:
Ce 0.0000 0.0000 0.0000  2 O 2.26
Nb 0.5000 0.5000 0.5000  6 O 2.17
O 0.1252 0.1252 0.1252  3 Nb 2.17, 1 Ce 2.26
O 0.8748 0.8748 0.8748  3 Nb 2.17, 1 Ce 2.26

(8)
DFT (GGA-PBE) results for crystalline CeNb2PbO8 at its relaxed geometry.

**Energy relative to the elements, uncorrected**: -2.46 eV per atom

Cell lengths 6.1026, 6.1026, 7.0808 Å; angles 90.00, 90.00, 120.00 degrees
With the nearest neighbours (Å) after each atom.
Fractional positions:
Ce 0.0000 0.0000 0.0000  6 O 2.25
Nb 0.3333 0.6667 0.2892  4 O 1.79-1.91
Nb 0.6667 0.3333 0.7108  4 O 1.79-1.91
Pb 0.0000 0.0000 0.5000  6 O 2.67
O 0.1604 0.3209 0.2094  1 Nb 1.91
O 0.1604 0.8396 0.2094  1 Nb 1.91
O 0.3209 0.1604 0.7906  1 Nb 1.91
O 0.3333 0.6667 0.5418  1 Nb 1.79
O 0.6667 0.3333 0.4582  1 Nb 1.79
O 0.6791 0.8396 0.2094  1 Nb 1.91
O 0.8396 0.1604 0.7906  1 Nb 1.91
O 0.8396 0.6791 0.7906  1 Nb 1.91